## Li2GaTc (PBE-GGA)

Data for a relaxed Li2GaTc crystal.

Lattice parameters (Å, degrees): 4.247 4.247 4.247 60.00 60.00 60.00
Fractional positions:
Li 0.000 0.000 0.000
Li 0.250 0.250 0.250
Ga 0.500 0.500 0.500
Tc 0.750 0.750 0.750

Results
SG ... F-43m (216)
Uncorrected energy ... -4.23 eV/atom
Calculated volume ... 54 Å³ per cell



## NbBiPb (PBE-GGA)

Data for a relaxed NbBiPb crystal.

Lattice parameters (Å, degrees): 5.086 5.086 5.086 60.00 60.00 60.00
Fractional positions:
Nb 0.000 0.000 0.000
Bi 0.500 0.500 0.500
Pb 0.750 0.750 0.750

Results
SG ... F-43m (216)
Uncorrected energy ... -4.91 eV/atom
Calculated volume ... 93 Å³ per cell



## GdPuSn (PBE-GGA)

Data for a relaxed GdPuSn crystal.

Lattice parameters (Å, degrees): 5.097 5.097 5.097 60.00 60.00 60.00
Fractional positions:
Gd 0.000 0.000 0.000
Pu 0.250 0.250 0.250
Sn 0.500 0.500 0.500

Results
SG ... F-43m (216)
Uncorrected energy ... -7.44 eV/atom
Calculated volume ... 94 Å³ per cell



## BaTaPtAu (PBE-GGA)

Data for a relaxed BaTaPtAu crystal.

Lattice parameters (Å, degrees): 5.069 5.069 5.069 60.00 60.00 60.00
Fractional positions:
Ba 0.000 0.000 0.000
Ta 0.500 0.500 0.500
Pt 0.250 0.250 0.250
Au 0.750 0.750 0.750

Results
Offset from the most stable computed form ... 0.0000 eV per atom
SG ... F-43m (216)
Calculated volume ... 92 Å³ per cell



## ErTmLu (PBE-GGA)

Data for a relaxed ErTmLu crystal.

Lattice parameters (Å, degrees): 5.305 5.305 5.305 60.00 60.00 60.00
Fractional positions:
Er 0.000 0.000 0.000
Tm 0.500 0.500 0.500
Lu 0.250 0.250 0.250

Results
Offset from the most stable computed form ... 0.0000 eV per atom
SG ... F-43m (216)
ΔE_f ... 719 meV/atom
Calculated volume ... 106 Å³ per cell



## U2S5 (PBE-GGA)

Data for a relaxed U2S5 crystal.

Lattice parameters (Å, degrees): 7.350 9.893 7.370 90.00 90.00 90.00
Fractional positions:
U 0.240 0.147 0.009
U 0.240 0.853 0.509
U 0.260 0.353 0.509
U 0.260 0.647 0.009
U 0.740 0.353 0.991
U 0.740 0.647 0.491
U 0.760 0.147 0.491
U 0.760 0.853 0.991
S 0.000 0.251 0.750
S 0.000 0.749 0.250
S 0.108 0.397 0.142
S 0.108 0.603 0.642
S 0.131 0.106 0.382
S 0.131 0.894 0.882
S 0.369 0.394 0.882
S 0.369 0.606 0.382
S 0.392 0.103 0.642
S 0.392 0.897 0.142
S 0.500 0.249 0.250
S 0.500 0.751 0.750
S 0.608 0.103 0.858
S 0.608 0.897 0.358
S 0.631 0.394 0.618
S 0.631 0.606 0.118
S 0.869 0.106 0.118
S 0.869 0.894 0.618
S 0.892 0.397 0.358
S 0.892 0.603 0.858

Results
SG ... Pbcn (60)
Uncorrected energy ... -7.37 eV/atom
Calculated volume ... 536 Å³ per cell



## Hf4Nb2In3C3 (PBE-GGA)

Data for a relaxed Hf4Nb2In3C3 crystal.

Lattice parameters (Å, degrees): 5.678 5.678 15.064 100.86 100.86 60.04
Fractional positions:
Hf 0.031 0.193 0.085
Hf 0.136 0.305 0.415
Hf 0.193 0.031 0.585
Hf 0.305 0.136 0.915
Hf 0.695 0.864 0.085
Hf 0.807 0.969 0.415
Hf 0.864 0.695 0.585
Hf 0.969 0.807 0.915
Nb 0.357 0.526 0.078
Nb 0.474 0.643 0.422
Nb 0.526 0.357 0.578
Nb 0.643 0.474 0.922
In 0.097 0.903 0.250
In 0.263 0.417 0.751
In 0.417 0.263 0.251
In 0.583 0.737 0.749
In 0.737 0.583 0.249
In 0.903 0.097 0.750
C 0.000 0.500 0.000
C 0.167 0.667 0.500
C 0.333 0.833 0.000
C 0.500 0.000 0.500
C 0.667 0.167 0.000
C 0.833 0.333 0.500

Results
SG ... C2/c (15)
Uncorrected energy ... -8.61 eV/atom
Calculated volume ... 411 Å³ per cell



## ZnCdSb4W2 (PBE-GGA)

Data for a relaxed ZnCdSb4W2 crystal.

Lattice parameters (Å, degrees): 7.716 7.716 7.716 132.00 132.00 70.24
Fractional positions:
Zn 0.000 0.000 0.000
Cd 0.750 0.250 0.500
Sb 0.150 0.643 0.031
Sb 0.357 0.388 0.506
Sb 0.612 0.118 0.969
Sb 0.882 0.850 0.494
W 0.250 0.750 0.500
W 0.500 0.500 0.000

Results
SG ... I-4 (82)
Uncorrected energy ... -4.83 eV/atom
Calculated volume ... 249 Å³ per cell



## NaCuPdSe3 (PBE-GGA)

Data for a relaxed NaCuPdSe3 crystal.

Lattice parameters (Å, degrees): 6.592 6.592 10.186 90.00 90.00 146.25
Fractional positions:
Na 0.247 0.753 0.750
Na 0.753 0.247 0.250
Cu 0.450 0.550 0.250
Cu 0.550 0.450 0.750
Pd 0.000 0.000 0.000
Pd 0.000 0.000 0.500
Se 0.066 0.934 0.250
Se 0.367 0.633 0.037
Se 0.367 0.633 0.463
Se 0.633 0.367 0.537
Se 0.633 0.367 0.963
Se 0.934 0.066 0.750

Results
Offset from the most stable computed form ... 0.0114 eV per atom
SG ... Cmcm (63)
Calculated volume ... 246 Å³ per cell



## UTePb (PBE-GGA)

Data for a relaxed UTePb crystal.

Lattice parameters (Å, degrees): 5.099 5.099 5.099 60.00 60.00 60.00
Fractional positions:
U 0.000 0.000 0.000
Te 0.750 0.750 0.750
Pb 0.500 0.500 0.500

Results
SG ... F-43m (216)
Uncorrected energy ... -5.72 eV/atom
Calculated volume ... 94 Å³ per cell



## Re2Te2SeS (PBE-GGA)

Data for a relaxed Re2Te2SeS crystal.

Lattice parameters (Å, degrees): 6.747 6.958 7.255 91.28 102.79 118.66
Fractional positions:
Re 0.010 0.201 0.003
Re 0.435 0.181 0.009
Re 0.565 0.819 0.991
Re 0.990 0.799 0.997
Te 0.244 0.112 0.305
Te 0.246 0.628 0.208
Te 0.754 0.372 0.792
Te 0.756 0.888 0.695
Se 0.287 0.401 0.805
Se 0.713 0.599 0.195
S 0.246 0.857 0.791
S 0.754 0.143 0.209

Results
Offset from the most stable computed form ... 0.0361 eV per atom
SG ... P-1 (2)
Calculated volume ... 288 Å³ per cell



## TbDyCo2B2N2 (PBE-GGA)

Data for a relaxed TbDyCo2B2N2 crystal.

Lattice parameters (Å, degrees): 3.489 3.489 7.448 90.00 90.00 90.00
Fractional positions:
Tb 0.000 0.000 0.000
Dy 0.500 0.500 0.337
Co 0.000 0.500 0.669
Co 0.500 0.000 0.669
B 0.000 0.000 0.520
B 0.500 0.500 0.818
N 0.000 0.000 0.317
N 0.500 0.500 0.021

Results
SG ... P4mm (99)
Uncorrected energy ... -7.77 eV/atom
Calculated volume ... 91 Å³ per cell



## Rb2AgBrCl3 (PBE-GGA)

Data for a relaxed Rb2AgBrCl3 crystal.

Lattice parameters (Å, degrees): 4.407 7.458 7.458 92.55 90.00 90.00
Fractional positions:
Rb 0.000 0.239 0.761
Rb 0.000 0.761 0.239
Ag 0.500 0.747 0.747
Br 0.500 0.496 0.496
Cl 0.500 0.519 0.977
Cl 0.500 0.977 0.519
Cl 0.500 0.988 0.988

Results
SG ... Amm2 (38)
Uncorrected energy ... -2.96 eV/atom
Calculated volume ... 245 Å³ per cell